Record 1
Material: HgB4O7
Method: DFT, GGA-PBE
State: relaxed

Cell lengths 8.343, 8.746, 13.823 Å; angles 90.00, 90.00, 90.00 degrees
Fractional positions:
B1 0.762 0.152 0.057
B2 0.738 0.652 0.057
B3 0.031 0.276 0.059
B4 0.469 0.776 0.059
B5 0.974 0.052 0.158
B6 0.526 0.552 0.158
B7 0.998 0.316 0.237
B8 0.502 0.816 0.237
B9 0.498 0.316 0.263
B10 0.002 0.816 0.263
B11 0.474 0.052 0.342
B12 0.026 0.552 0.342
B13 0.531 0.276 0.441
B14 0.969 0.776 0.441
B15 0.262 0.152 0.443
B16 0.238 0.652 0.443
B17 0.762 0.348 0.557
B18 0.738 0.848 0.557
B19 0.031 0.224 0.559
B20 0.469 0.724 0.559
B21 0.974 0.448 0.658
B22 0.526 0.948 0.658
B23 0.998 0.184 0.737
B24 0.502 0.684 0.737
B25 0.498 0.184 0.763
B26 0.002 0.684 0.763
B27 0.474 0.448 0.842
B28 0.026 0.948 0.842
B29 0.531 0.224 0.941
B30 0.969 0.724 0.941
B31 0.262 0.348 0.943
B32 0.238 0.848 0.943
Hg1 0.342 0.106 0.117
Hg2 0.158 0.606 0.117
Hg3 0.842 0.106 0.383
Hg4 0.658 0.606 0.383
Hg5 0.342 0.394 0.617
Hg6 0.158 0.894 0.617
Hg7 0.842 0.394 0.883
Hg8 0.658 0.894 0.883
O1 0.612 0.142 0.017
O2 0.888 0.642 0.017
O3 0.862 0.269 0.029
O4 0.638 0.769 0.029
O5 0.082 0.120 0.084
O6 0.418 0.620 0.084
O7 0.810 0.047 0.123
O8 0.690 0.547 0.123
O9 0.047 0.372 0.149
O10 0.453 0.872 0.149
O11 0.468 0.403 0.184
O12 0.032 0.903 0.184
O13 0.976 0.160 0.246
O14 0.524 0.660 0.246
O15 0.476 0.160 0.254
O16 0.024 0.660 0.254
O17 0.968 0.403 0.316
O18 0.532 0.903 0.316
O19 0.547 0.372 0.351
O20 0.953 0.872 0.351
O21 0.310 0.047 0.377
O22 0.190 0.547 0.377
O23 0.582 0.120 0.416
O24 0.918 0.620 0.416
O25 0.362 0.269 0.471
O26 0.138 0.769 0.471
O27 0.112 0.142 0.483
O28 0.388 0.642 0.483
O29 0.612 0.358 0.517
O30 0.888 0.858 0.517
O31 0.862 0.231 0.529
O32 0.638 0.731 0.529
O33 0.082 0.380 0.584
O34 0.418 0.880 0.584
O35 0.810 0.453 0.623
O36 0.690 0.953 0.623
O37 0.047 0.128 0.649
O38 0.453 0.628 0.649
O39 0.468 0.097 0.684
O40 0.032 0.597 0.684
O41 0.976 0.340 0.746
O42 0.524 0.840 0.746
O43 0.476 0.340 0.754
O44 0.024 0.840 0.754
O45 0.968 0.097 0.816
O46 0.532 0.597 0.816
O47 0.547 0.128 0.851
O48 0.953 0.628 0.851
O49 0.310 0.453 0.877
O50 0.190 0.953 0.877
O51 0.582 0.380 0.916
O52 0.918 0.880 0.916
O53 0.362 0.231 0.971
O54 0.138 0.731 0.971
O55 0.112 0.358 0.983
O56 0.388 0.858 0.983

## Properties
For the distance to the lowest polymorph of the same formula, the calculation gives 0.0000 eV per atom. The space group is Pbca. The value obtained for the volume is 10.51 A^3/atom.

***

Record 2
Material: PrNbGe
Method: DFT, GGA-PBE
State: relaxed

Cell lengths 4.965, 4.965, 4.965 Å; angles 60.00, 60.00, 60.00 degrees
Fractional positions:
Ge1 0.250 0.250 0.250
Nb1 0.750 0.750 0.750
Pr1 0.000 0.000 0.000

## Properties
The total energy is -16.65 eV per cell. The space group is F-43m. The value obtained for the volume is 28.85 A^3/atom. As for the magnetization: 3.74 Bohr magnetons per cell.

***

Record 3
Material: ZrRePd
Method: DFT, GGA-PBE
State: relaxed

Cell lengths 4.386, 4.386, 4.386 Å; angles 60.00, 60.00, 60.00 degrees
Fractional positions:
Pd1 0.000 0.000 0.000
Re1 0.250 0.250 0.250
Zr1 0.750 0.750 0.750

## Properties
For the distance to the lowest polymorph of the same formula, the calculation gives 0.0000 eV per atom. As for the formation enthalpy at 0 K: 0.56 eV/atom. The space group is F-43m. The value obtained for the volume is 19.89 A^3/atom. As for the magnetization: 0.46 Bohr magnetons per cell.

***

Record 4
Material: Zr4TlAsC2
Method: DFT, GGA-PBE
State: relaxed

Cell lengths 3.425, 3.425, 13.945 Å; angles 90.00, 90.00, 120.00 degrees
Fractional positions:
As1 0.000 0.000 0.000
C1 0.333 0.667 0.233
C2 0.333 0.667 0.767
Tl1 0.667 0.333 0.500
Zr1 0.667 0.333 0.141
Zr2 0.000 0.000 0.319
Zr3 0.000 0.000 0.681
Zr4 0.667 0.333 0.859

## Properties
The total energy is -65.97 eV per cell. The space group is P-6m2. The value obtained for the volume is 17.71 A^3/atom. As for the magnetization: 0.00 Bohr magnetons per cell.

***

Record 5
Material: TbGa2CuNi
Method: DFT, GGA-PBE
State: relaxed

Cell lengths 4.094, 4.094, 10.065 Å; angles 90.00, 90.00, 90.00 degrees
Fractional positions:
Cu1 0.000 0.500 0.360
Cu2 0.500 0.000 0.640
Ga1 0.000 0.500 0.122
Ga2 0.000 0.000 0.500
Ga3 0.500 0.500 0.500
Ga4 0.500 0.000 0.878
Ni1 0.000 0.000 0.000
Ni2 0.500 0.500 0.000
Tb1 0.500 0.000 0.242
Tb2 0.000 0.500 0.758

## Properties
For the distance to the lowest polymorph of the same formula, the calculation gives 0.0138 eV per atom. The space group is P4/nmm. The value obtained for the volume is 16.87 A^3/atom. As for the magnetization: 0.00 Bohr magnetons per cell.

***

Record 6
Material: RbZnNi
Method: DFT, GGA-PBE
State: relaxed

Cell lengths 4.945, 4.945, 4.945 Å; angles 60.00, 60.00, 60.00 degrees
Fractional positions:
Ni1 0.000 0.000 0.000
Rb1 0.250 0.250 0.250
Zn1 0.750 0.750 0.750

## Properties
For the distance to the lowest polymorph of the same formula, the calculation gives 0.0000 eV per atom. The space group is F-43m. The value obtained for the volume is 28.51 A^3/atom. As for the magnetization: 0.42 Bohr magnetons per cell.